[1]
Computed, not measured: a relaxed In2GaAg crystal at the PBE-GGA level of DFT.

```
data_In2GaAg
_chemical_formula_sum 'In2 Ga1 Ag1'
_symmetry_space_group_name_H-M 'P 1'
_symmetry_Int_Tables_number 1
_symmetry_space_group_name_Hall 'P 1'
_cell_length_a 4.3931
_cell_length_b 4.5185
_cell_length_c 4.5185
_cell_angle_alpha 90.00
_cell_angle_beta 90.00
_cell_angle_gamma 90.00
loop_
_atom_site_label
_atom_site_fract_x
_atom_site_fract_y
_atom_site_fract_z
_atom_site_occupancy
Ga1 0.5000 0.5000 0.5000 1
Ag1 0.5000 0.0000 0.0000 1
In1 0.0000 0.0000 0.5000 1
In2 0.0000 0.5000 0.0000 1
```

size of the total moment: 0.000 μB/atom
energy of formation: 0.055 eV/atom

=====

[2]
Computed, not measured: a relaxed InGaAg2 crystal at the PBE-GGA level of DFT.

```
data_InGaAg2
_chemical_formula_sum 'In1 Ga1 Ag2'
_symmetry_space_group_name_H-M 'P 1'
_symmetry_Int_Tables_number 1
_symmetry_space_group_name_Hall 'P 1'
_cell_length_a 3.1727
_cell_length_b 3.1727
_cell_length_c 9.2155
_cell_angle_alpha 80.09
_cell_angle_beta 80.09
_cell_angle_gamma 60.00
loop_
_atom_site_label
_atom_site_fract_x
_atom_site_fract_y
_atom_site_fract_z
_atom_site_occupancy
Ga1 0.0000 0.0000 0.0000 1
Ag1 0.7448 0.7448 0.7655 1
Ag2 0.2552 0.2552 0.2345 1
In1 0.5000 0.5000 0.5000 1
```

size of the total moment: 0.000 μB/atom
energy above the lowest structure with this stoichiometry: 5 meV/atom
energy of formation: 0.036 eV/atom

=====

[3]
Computed, not measured: a relaxed InGa4Ag crystal at the PBE-GGA level of DFT.

```
data_InGa4Ag
_chemical_formula_sum 'In2 Ga8 Ag2'
_symmetry_space_group_name_H-M 'P 1'
_symmetry_Int_Tables_number 1
_symmetry_space_group_name_Hall 'P 1'
_cell_length_a 5.1478
_cell_length_b 6.2813
_cell_length_c 9.0738
_cell_angle_alpha 108.23
_cell_angle_beta 113.87
_cell_angle_gamma 69.50
loop_
_atom_site_label
_atom_site_fract_x
_atom_site_fract_y
_atom_site_fract_z
_atom_site_occupancy
In1 0.8343 0.7776 0.9949 1
In2 0.1657 0.2224 0.0051 1
Ga1 0.5558 0.1672 0.8195 1
Ga2 0.7182 0.3802 0.1628 1
Ga3 0.4442 0.8328 0.1805 1
Ga4 0.2818 0.6198 0.8372 1
Ga5 0.1210 0.9352 0.6491 1
Ga6 0.3044 0.5790 0.3450 1
Ga7 0.8790 0.0648 0.3509 1
Ga8 0.6956 0.4210 0.6550 1
Ag1 0.5000 0.0000 0.5000 1
Ag2 0.0000 0.5000 0.5000 1
```

size of the total moment: 0.000 μB/atom
energy above the lowest structure with this stoichiometry: 25 meV/atom
energy of formation: 0.053 eV/atom

=====

[4]
Computed, not measured: a relaxed In2GaAg6 crystal at the PBE-GGA level of DFT.

```
data_In2GaAg6
_chemical_formula_sum 'In4 Ga2 Ag12'
_symmetry_space_group_name_H-M 'P 1'
_symmetry_Int_Tables_number 1
_symmetry_space_group_name_Hall 'P 1'
_cell_length_a 4.1011
_cell_length_b 9.1019
_cell_length_c 9.1020
_cell_angle_alpha 90.00
_cell_angle_beta 90.00
_cell_angle_gamma 90.00
loop_
_atom_site_label
_atom_site_fract_x
_atom_site_fract_y
_atom_site_fract_z
_atom_site_occupancy
In1 0.0000 0.3262 0.8262 1
In2 0.5000 0.8262 0.6738 1
In3 0.5000 0.1738 0.3262 1
In4 0.0000 0.6738 0.1738 1
Ga1 0.5000 0.5000 0.0000 1
Ga2 0.0000 0.0000 0.5000 1
Ag1 0.0000 0.0029 0.1654 1
Ag2 0.0000 0.6654 0.5029 1
Ag3 0.0000 0.6577 0.8423 1
Ag4 0.5000 0.1577 0.6577 1
Ag5 0.5000 0.1654 0.9971 1
Ag6 0.5000 0.5029 0.3346 1
Ag7 0.0000 0.9971 0.8346 1
Ag8 0.0000 0.3346 0.4971 1
Ag9 0.0000 0.3423 0.1577 1
Ag10 0.5000 0.8423 0.3423 1
Ag11 0.5000 0.8346 0.0029 1
Ag12 0.5000 0.4971 0.6654 1
```

size of the total moment: 0.000 μB/atom
energy above the lowest structure with this stoichiometry: 0 meV/atom
energy of formation: -0.005 eV/atom

=====

Copy entry 2 word for word.
Computed, not measured: a relaxed InGaAg2 crystal at the PBE-GGA level of DFT.

```
data_InGaAg2
_chemical_formula_sum 'In1 Ga1 Ag2'
_symmetry_space_group_name_H-M 'P 1'
_symmetry_Int_Tables_number 1
_symmetry_space_group_name_Hall 'P 1'
_cell_length_a 3.1727
_cell_length_b 3.1727
_cell_length_c 9.2155
_cell_angle_alpha 80.09
_cell_angle_beta 80.09
_cell_angle_gamma 60.00
loop_
_atom_site_label
_atom_site_fract_x
_atom_site_fract_y
_atom_site_fract_z
_atom_site_occupancy
Ga1 0.0000 0.0000 0.0000 1
Ag1 0.7448 0.7448 0.7655 1
Ag2 0.2552 0.2552 0.2345 1
In1 0.5000 0.5000 0.5000 1
```

size of the total moment: 0.000 μB/atom
energy above the lowest structure with this stoichiometry: 5 meV/atom
energy of formation: 0.036 eV/atom